[1]
The following is a DFT calculation (GGA-PBEsol) of crystalline PbCO3 at its relaxed geometry.

```
PbCO3
1.0
5.163 0.004 0.000
-0.005 6.047 0.000
0.000 0.000 8.480
O Pb C
12 4 4
Cartesian
1.286 5.456 7.750
4.995 0.555 2.677
1.288 2.432 4.970
2.747 3.576 1.564
0.166 2.473 6.917
2.412 2.475 6.916
3.870 3.619 3.510
3.873 0.595 0.730
2.409 5.499 5.804
2.749 0.552 2.676
4.993 3.578 1.564
0.163 5.496 5.804
1.287 4.562 3.538
3.871 1.489 4.943
3.869 4.513 7.778
1.290 1.538 0.703
3.872 0.539 2.026
1.289 2.488 6.266
1.286 5.512 6.454
3.870 3.563 2.214
```

* E_form (uncorrected): -1.386 eV per atom
* space-group type: Pnma
* uncorrected energy: -145.29 eV/cell
* magnetization: 0.000 μB per formula unit

[2]
The following is a DFT calculation (GGA-PBEsol) of crystalline PbCO2 at its relaxed geometry.

```
PbCO2
1.0
-3.222 -0.309 -2.368
-1.414 -3.617 -1.001
-3.486 -1.280 1.514
Pb C O
1 1 2
Cartesian
-4.061 -2.603 -0.927
0.000 0.000 0.000
-2.030 -1.302 -0.463
-6.091 -3.905 -1.390
```

* E_form (uncorrected): 1.183 eV per atom
* space-group type: Fm-3m
* uncorrected energy: -19.41 eV/cell
* magnetization: 0.000 μB per formula unit

[3]
The following is a DFT calculation (GGA-PBEsol) of crystalline PbC2O2 at its relaxed geometry.

```
PbC2O2
1.0
-1.894 1.290 -0.806
0.587 -3.391 -6.809
-4.740 -5.504 2.333
Pb C O
2 4 4
Cartesian
-2.077 -4.447 -2.238
0.000 0.000 0.000
-3.753 -5.904 -4.290
-2.294 -1.701 -0.992
-4.596 -4.846 -0.615
-1.451 -2.759 -4.667
-3.948 -6.132 -0.535
-1.731 -2.498 0.070
-0.205 -2.763 -3.941
-2.422 -6.397 -4.546
```

* E_form (uncorrected): 1.012 eV per atom
* space-group type: P4/mbm
* uncorrected energy: -57.45 eV/cell
* magnetization: 0.001 μB per formula unit

[4]
The following is a DFT calculation (GGA-PBEsol) of crystalline PdCO2 at its relaxed geometry.

```
PdCO2
1.0
4.616 0.000 0.000
-2.308 4.064 0.004
0.000 2.618 3.802
Pd O C
2 4 2
Cartesian
0.000 0.000 0.000
2.308 3.995 2.853
1.154 1.760 1.081
3.462 2.236 1.772
0.420 4.030 1.428
-0.420 5.339 3.329
0.000 2.687 0.952
2.308 1.309 1.901
```

* E_form (uncorrected): 0.538 eV per atom
* space-group type: I-42d
* uncorrected energy: -47.90 eV/cell
* magnetization: 0.000 μB per formula unit

[5]
The following is a DFT calculation (GGA-PBEsol) of crystalline Pd2CO at its relaxed geometry.

```
Pd2CO
1.0
4.556 0.000 0.000
0.000 4.556 0.000
-2.278 -2.278 4.982
C Pd O
2 4 2
Cartesian
2.278 0.000 2.491
2.278 2.278 0.000
-1.139 -0.960 3.737
1.139 0.960 3.737
3.238 1.139 1.246
1.318 3.417 1.246
0.000 0.000 0.000
0.000 2.278 2.491
```

* E_form (uncorrected): 0.431 eV per atom
* space-group type: I-42d
* uncorrected energy: -50.17 eV/cell
* distance to the lowest polymorph of the same formula: 0 meV per atom
* magnetization: 0.000 μB per formula unit

[6]
The following is a DFT calculation (GGA-PBEsol) of crystalline Pd2CO at its relaxed geometry.

```
Pd2CO
1.0
3.859 0.000 0.000
1.930 3.342 0.000
1.930 1.114 3.151
Pd O C
2 1 1
Cartesian
1.930 1.114 0.788
5.789 3.342 2.363
3.859 2.228 1.576
0.000 0.000 0.000
```

* E_form (uncorrected): 0.870 eV per atom
* space-group type: Fm-3m
* uncorrected energy: -23.33 eV/cell
* distance to the lowest polymorph of the same formula: 439 meV per atom
* magnetization: 0.007 μB per formula unit

[7]
The following is a DFT calculation (GGA-PBEsol) of crystalline PrCO4 at its relaxed geometry.

```
PrCO4
1.0
4.959 0.000 0.000
0.000 7.413 0.000
0.000 0.000 7.989
O Pr C
16 4 4
Cartesian
3.719 2.199 5.453
0.119 6.354 0.984
4.839 4.766 4.978
3.719 5.906 6.531
3.719 3.412 0.669
1.240 0.295 4.664
2.360 6.354 0.984
0.119 2.647 3.011
4.839 1.059 7.006
1.240 1.508 1.459
1.240 4.001 7.321
2.599 4.766 4.978
3.719 7.119 3.326
2.360 2.647 3.011
1.240 5.214 2.536
2.599 1.059 7.006
3.719 4.791 2.608
1.240 2.622 5.381
1.240 6.328 6.603
3.719 1.085 1.386
3.719 1.420 6.463
3.719 5.126 5.521
1.240 2.287 2.468
1.240 5.994 1.527
```

* E_form (uncorrected): -1.984 eV per atom
* space-group type: Pnma
* uncorrected energy: -190.91 eV/cell
* magnetization: 1.000 μB per formula unit

[8]
The following is a DFT calculation (GGA-PBEsol) of crystalline Rb4CO4 at its relaxed geometry.

```
Rb4CO4
1.0
-5.289 -0.106 -1.867
0.737 -5.201 -1.970
-1.741 -2.157 4.877
O Rb C
4 4 1
Cartesian
-3.842 -6.366 0.085
-5.915 -7.017 0.978
-4.580 -5.460 2.124
-5.636 -4.849 0.116
-2.826 -0.638 -0.739
-3.241 -3.844 0.536
-1.264 -1.540 2.229
-0.174 -2.880 -0.784
-4.992 -5.921 0.825
```

* E_form (uncorrected): -1.255 eV per atom
* space-group type: R3m
* uncorrected energy: -46.04 eV/cell
* distance to the lowest polymorph of the same formula: 73 meV per atom
* magnetization: 0.047 μB per formula unit

[9]
The following is a DFT calculation (GGA-PBEsol) of crystalline Rb2CO3 at its relaxed geometry.

```
Rb2CO3
1.0
-5.807 1.004 -0.396
-0.683 -1.030 7.408
1.574 9.694 1.493
C Rb O
4 8 12
Cartesian
-1.838 0.284 5.649
-0.974 4.016 2.441
-3.079 9.384 2.856
-3.942 5.651 6.065
-4.322 2.454 3.524
-1.256 3.613 5.558
-0.330 7.253 1.204
-1.447 0.852 1.349
-4.586 2.415 7.302
-3.660 6.054 2.948
-0.595 7.214 4.981
-3.470 8.816 7.157
-0.499 8.721 7.402
-2.086 8.567 3.047
-2.756 6.027 6.440
-4.303 8.950 2.896
-0.821 5.150 3.068
0.057 3.257 2.217
-0.613 0.717 5.609
-4.973 6.410 6.288
-2.831 1.101 5.458
-2.160 3.641 2.066
-4.417 0.947 1.104
-4.096 4.517 5.437
```

* E_form (uncorrected): -1.756 eV per atom
* space-group type: Pnma
* uncorrected energy: -151.92 eV/cell
* magnetization: 0.000 μB per formula unit

[10]
The following is a DFT calculation (GGA-PBEsol) of crystalline Rb2CO3 at its relaxed geometry.

```
Rb2CO3
1.0
-0.217 -5.207 2.651
1.631 -2.474 -6.820
9.740 0.658 2.091
C Rb O
4 8 12
Cartesian
5.099 -5.456 -2.176
10.116 -2.584 -2.616
1.038 -4.439 0.537
6.055 -1.567 0.098
4.423 -4.464 0.728
8.166 -4.519 0.337
6.731 -2.559 -2.806
2.988 -2.504 -2.416
9.188 -1.101 1.307
2.664 -1.234 1.100
8.490 -5.789 -3.179
1.966 -5.922 -3.385
1.652 -5.300 1.298
9.481 -3.674 2.704
6.430 -2.258 1.131
9.444 -3.346 -1.807
1.710 -3.677 -0.271
4.927 -1.837 -0.499
9.502 -1.723 -3.377
6.810 -0.613 -0.369
4.344 -6.410 -1.709
1.674 -3.349 -4.783
6.227 -5.186 -1.580
4.724 -4.765 -3.209
```

* E_form (uncorrected): -1.758 eV per atom
* space-group type: P2_1/c
* uncorrected energy: -151.96 eV/cell
* magnetization: 0.000 μB per formula unit

[11]
The following is a DFT calculation (GGA-PBEsol) of crystalline Rb4CO4 at its relaxed geometry.

```
Rb4CO4
1.0
-3.120 4.733 -1.221
-3.491 -4.173 -2.643
-0.569 -0.011 6.022
Rb O C
4 4 1
Cartesian
-1.377 0.493 0.227
-5.048 2.190 3.438
-4.241 -0.796 1.812
-6.446 0.198 -0.709
-3.905 0.792 -0.410
-3.230 1.754 1.593
-2.883 2.899 -0.420
-5.047 2.646 0.431
-3.771 2.021 0.301
```

* E_form (uncorrected): -1.298 eV per atom
* space-group type: Cm
* uncorrected energy: -46.42 eV/cell
* distance to the lowest polymorph of the same formula: 30 meV per atom
* magnetization: 0.058 μB per formula unit

[12]
The following is a DFT calculation (GGA-PBEsol) of crystalline Rb4CO4 at its relaxed geometry.

```
Rb4CO4
1.0
-0.370 0.023 -5.291
5.316 -3.904 -0.388
-5.485 -2.179 3.032
Rb O C
4 4 1
Cartesian
-3.518 -1.944 -0.601
0.330 -2.171 -1.853
-0.752 -3.897 0.874
2.863 -4.109 -3.714
1.184 -2.133 -4.593
2.761 -3.119 -1.022
-1.978 -3.912 -1.721
-3.043 -2.958 2.042
2.658 -1.952 -0.194
```

* E_form (uncorrected): -1.328 eV per atom
* space-group type: I222
* uncorrected energy: -46.69 eV/cell
* distance to the lowest polymorph of the same formula: 0 meV per atom
* magnetization: 0.001 μB per formula unit

[13]
The following is a DFT calculation (GGA-PBEsol) of crystalline Rb2Sr2C3O9 at its relaxed geometry.

```
Rb2Sr2C3O9
1.0
8.482 0.000 0.000
-2.827 7.997 0.000
-2.827 -3.998 6.926
O C Sr Rb
18 6 4 4
Cartesian
3.637 -2.252 5.836
2.970 1.201 1.731
0.739 4.119 1.405
2.685 1.100 5.369
6.464 0.071 2.057
-0.142 0.101 3.288
2.319 4.677 4.553
0.810 2.181 5.958
-2.685 4.897 5.020
-1.041 3.490 4.430
1.787 6.091 1.688
5.512 -1.201 5.194
0.142 5.897 0.174
-0.508 1.716 1.775
3.566 3.156 2.656
-2.088 4.720 2.864
5.147 5.602 0.598
4.614 2.415 0.807
-1.931 4.364 4.097
-0.896 0.634 2.365
1.931 1.633 6.292
4.758 -2.267 5.194
0.896 5.364 1.098
3.724 2.267 1.731
-1.642 3.676 0.559
4.925 0.000 0.000
1.186 2.644 3.463
4.013 5.675 2.904
2.481 -1.018 3.463
-3.174 1.509 4.312
-0.347 -0.490 6.076
1.040 0.000 0.000
```

* E_form (uncorrected): -2.100 eV per atom
* space-group type: I2_13
* uncorrected energy: -231.03 eV/cell
* magnetization: 0.002 μB per formula unit

[14]
The following is a DFT calculation (GGA-PBEsol) of crystalline ReCO2 at its relaxed geometry.

```
ReCO2
1.0
-0.384 0.184 -4.813
0.427 -4.808 -0.218
-4.179 1.928 2.832
O Re C
4 2 2
Cartesian
-3.143 1.023 1.503
-1.233 -1.154 -3.739
-3.094 -1.598 -1.027
-0.803 -3.662 -1.133
-1.866 -2.596 0.050
0.000 0.000 0.000
-2.271 -0.100 -2.248
0.021 -2.312 -2.515
```

* E_form (uncorrected): 1.305 eV per atom
* space-group type: I-42d
* uncorrected energy: -56.51 eV/cell
* magnetization: 0.000 μB per formula unit

[15]
The following is a DFT calculation (GGA-PBEsol) of crystalline Sr2ReCO at its relaxed geometry.

```
Sr2ReCO
1.0
-0.421 2.340 3.072
-4.870 -1.879 0.764
1.946 -3.769 3.137
Sr O C Re
2 1 1 1
Cartesian
-2.435 -0.940 0.382
0.973 -1.884 1.569
-1.673 -1.654 3.487
0.000 0.000 0.000
-0.211 1.170 1.536
```

* E_form (uncorrected): 0.127 eV per atom
* space-group type: P4/mmm
* uncorrected energy: -31.27 eV/cell
* magnetization: 1.867 μB per formula unit

[16]
The following is a DFT calculation (GGA-PBEsol) of crystalline Sb2TeCO at its relaxed geometry.

```
Sb2TeCO
1.0
-0.482 -1.188 -4.448
4.586 0.264 -0.568
0.406 -4.545 1.170
C O Sb Te
1 1 2 1
Cartesian
2.255 -2.735 -1.923
0.000 0.000 0.000
2.293 0.132 -0.284
-0.241 -0.594 -2.224
0.203 -2.273 0.585
```

* E_form (uncorrected): 1.273 eV per atom
* space-group type: P4/mmm
* uncorrected energy: -21.17 eV/cell
* magnetization: 0.001 μB per formula unit

[17]
The following is a DFT calculation (GGA-PBEsol) of crystalline SbTe2CO at its relaxed geometry.

```
SbTe2CO
1.0
-0.025 -1.991 4.198
4.488 -1.233 -0.559
1.354 4.052 1.930
C Te O Sb
1 2 1 1
Cartesian
2.909 0.414 2.785
0.677 2.026 0.965
2.244 -0.617 -0.279
0.000 0.000 0.000
-0.012 -0.996 2.099
```

* E_form (uncorrected): 1.354 eV per atom
* space-group type: P4/mmm
* uncorrected energy: -19.73 eV/cell
* magnetization: 0.336 μB per formula unit

[18]
The following is a DFT calculation (GGA-PBEsol) of crystalline ScC2O2 at its relaxed geometry.

```
ScC2O2
1.0
2.591 0.000 0.000
0.000 2.591 0.000
-1.295 -1.295 6.671
C Sc O
2 1 2
Cartesian
1.295 0.000 3.335
0.000 1.295 3.335
0.000 0.000 0.000
0.000 0.000 5.570
1.295 1.295 1.101
```

* E_form (uncorrected): 0.103 eV per atom
* space-group type: I4/mmm
* uncorrected energy: -35.88 eV/cell
* magnetization: 0.000 μB per formula unit